Record 1
10
Lattice="-3.280 3.280 4.649 3.280 -3.280 4.649 3.280 3.280 -4.649" Properties=species:S:1:pos:R:3 comment="GGA-PBE Cs2SbRhF6, relaxed" dos_ef_per_ev_cell=0.000 raw_formation_energy_ev_per_fu=-20.7 pbc="T T T"
Cs 3.280 0.000 2.325
Cs 0.000 3.280 2.325
Sb 0.000 0.000 0.000
Rh 0.000 0.000 4.649
F 0.000 0.000 2.214
F 1.566 1.566 0.000
F 1.714 -1.714 4.649
F -1.714 1.714 4.649
F 1.714 1.714 4.649
F 0.000 0.000 7.085

---

Record 2
10
Lattice="-3.187 3.187 4.502 3.187 -3.187 4.502 3.187 3.187 -4.502" Properties=species:S:1:pos:R:3 comment="GGA-PBE Cs2ScRhF6, relaxed" dos_ef_per_ev_cell=0.000 raw_formation_energy_ev_per_fu=-27.3 pbc="T T T"
Cs 3.187 0.000 2.251
Cs 0.000 3.187 2.251
Sc 0.000 0.000 0.000
Rh 0.000 0.000 4.502
F 1.449 1.449 0.000
F 1.739 -1.739 4.502
F 0.000 0.000 2.049
F 0.000 0.000 6.954
F -1.739 1.739 4.502
F 1.739 1.739 4.502

---

Record 3
10
Lattice="-3.018 3.018 5.470 3.018 -3.018 5.470 3.018 3.018 -5.470" Properties=species:S:1:pos:R:3 comment="GGA-PBE Cs2RhSeF6, relaxed" dos_ef_per_ev_cell=0.000 raw_formation_energy_ev_per_fu=-18.2 pbc="T T T"
Cs 3.018 0.000 2.735
Cs 0.000 3.018 2.735
Rh 0.000 0.000 0.000
Se 0.000 0.000 5.470
F 0.000 0.000 2.027
F 1.571 1.571 0.000
F 1.447 -1.447 5.470
F -1.447 1.447 5.470
F 1.447 1.447 5.470
F 0.000 0.000 8.912

---

Record 4
10
Lattice="-3.303 3.303 4.473 3.303 -3.303 4.473 3.303 3.303 -4.473" Properties=species:S:1:pos:R:3 comment="GGA-PBE Cs2SrRhF6, relaxed" dos_ef_per_ev_cell=0.000 raw_formation_energy_ev_per_fu=-26.0 pbc="T T T"
Cs 3.303 0.000 2.237
Cs 0.000 3.303 2.237
Sr 0.000 0.000 0.000
Rh 0.000 0.000 4.473
F 1.697 1.697 0.000
F 1.607 -1.607 4.473
F 0.000 0.000 2.425
F 0.000 0.000 6.522
F -1.607 1.607 4.473
F 1.607 1.607 4.473

---

Record 5
10
Lattice="-3.280 3.280 4.620 3.280 -3.280 4.620 3.280 3.280 -4.620" Properties=species:S:1:pos:R:3 comment="GGA-PBE Cs2YRhF6, relaxed" dos_ef_per_ev_cell=0.000 raw_formation_energy_ev_per_fu=-27.5 pbc="T T T"
Cs 3.280 0.000 2.310
Cs 0.000 3.280 2.310
Y 0.000 0.000 0.000
Rh 0.000 0.000 4.620
F 1.551 1.551 0.000
F 1.729 -1.729 4.620
F 0.000 0.000 2.193
F 0.000 0.000 7.048
F -1.729 1.729 4.620
F 1.729 1.729 4.620

---

Record 6
10
Lattice="-3.086 3.086 4.358 3.086 -3.086 4.358 3.086 3.086 -4.358" Properties=species:S:1:pos:R:3 comment="GGA-PBE Cs2ZnRhF6, relaxed" dos_ef_per_ev_cell=0.073 raw_formation_energy_ev_per_fu=-21.2 pbc="T T T"
Cs 3.086 0.000 2.179
Cs 0.000 3.086 2.179
Zn 0.000 0.000 0.000
Rh 0.000 0.000 4.358
F 1.448 1.448 0.000
F 1.638 -1.638 4.358
F 0.000 0.000 2.290
F 0.000 0.000 6.425
F -1.638 1.638 4.358
F 1.638 1.638 4.358

---

Record 7
18
Lattice="-3.725 3.736 5.388 3.725 -3.736 5.388 3.725 3.736 -5.388" Properties=species:S:1:pos:R:3 comment="GGA-PBE CsZnRhF6, relaxed" raw_formation_energy_ev_per_fu=-19.3 pbc="T T T"
Cs 0.000 1.868 1.479
Cs 3.725 1.868 3.909
Zn 3.725 0.000 0.000
Zn 0.000 0.000 5.388
Rh 1.862 1.868 -2.694
Rh 1.862 -1.868 2.694
F 3.725 -1.868 3.481
F 2.212 -0.390 1.378
F 5.237 -0.390 1.378
F 3.725 1.868 0.712
F 2.212 3.347 -1.378
F 1.513 -0.390 4.010
F 2.212 4.126 1.378
F 1.513 0.390 6.767
F 0.000 1.868 4.676
F -1.513 4.126 4.010
F 1.513 4.126 4.010
F 0.000 5.604 1.907

---

Record 8
20
Lattice="7.655 -3.266 0.000 7.655 3.266 0.000 -7.449 0.000 7.859" Properties=species:S:1:pos:R:3 comment="GGA-PBE Cs2RuF7, relaxed" dos_ef_per_ev_cell=12.406 raw_formation_energy_ev_per_fu=-21.6 pbc="T T T"
Cs 2.033 0.345 0.592
Cs -1.691 -0.345 4.521
Cs 9.552 0.345 3.338
Cs 5.827 -0.345 7.267
Ru 2.068 0.220 5.894
Ru 5.792 -0.220 1.965
F 2.068 2.190 5.894
F 4.637 1.382 2.096
F 0.317 0.814 6.486
F 1.469 0.238 4.013
F 6.947 1.382 1.833
F 5.194 -0.238 0.084
F 3.818 0.814 5.302
F 4.042 -0.814 2.557
F 2.667 0.238 7.775
F 0.913 -1.382 6.026
F 6.391 -0.238 3.846
F 7.543 -0.814 1.373
F 3.223 -1.382 5.762
F 5.792 -2.190 1.965

---

Record 9
12
Lattice="3.921 0.000 0.000 -1.961 3.396 0.000 0.000 0.000 22.776" Properties=species:S:1:pos:R:3 comment="GGA-PBE CsRuF2, relaxed" dos_ef_per_ev_cell=4.805 raw_formation_energy_ev_per_fu=-4.6 de_polymorph_mev_per_atom=0 pbc="T T T"
Cs 0.000 0.000 0.000
Cs 0.000 2.264 15.184
Cs 1.961 1.132 7.592
Ru 0.000 0.000 11.388
Ru 0.000 2.264 3.796
Ru 1.961 1.132 18.980
F 0.000 0.000 9.389
F 0.000 0.000 13.387
F 0.000 2.264 1.797
F 0.000 2.264 5.795
F 1.961 1.132 16.981
F 1.961 1.132 20.979

---

Record 10
16
Lattice="9.186 0.000 0.000 0.000 6.590 0.000 -3.249 0.000 5.615" Properties=species:S:1:pos:R:3 comment="GGA-PBE CsRuF6, relaxed" raw_formation_energy_ev_per_fu=-17.1 de_polymorph_mev_per_atom=11 pbc="T T T"
Cs 0.000 0.000 0.000
Cs 4.593 3.295 0.000
Ru -1.624 3.295 2.807
Ru 2.968 0.000 2.807
F -1.381 1.962 4.144
F -1.381 4.629 4.144
F 0.244 3.295 2.490
F 1.100 0.000 3.125
F 2.725 1.334 1.471
F 2.725 5.257 1.471
F 3.212 1.334 4.144
F 3.212 5.257 4.144
F 4.836 0.000 2.490
F 5.693 3.295 3.125
F 7.318 1.962 1.471
F 7.318 4.629 1.471

---

Record 11
24
Lattice="8.858 0.000 0.000 -4.429 7.671 0.000 0.000 0.000 7.939" Properties=species:S:1:pos:R:3 comment="GGA-PBE Cs3RuF8, relaxed" dos_ef_per_ev_cell=16.852 raw_formation_energy_ev_per_fu=-27.6 pbc="T T T"
Cs 0.000 2.405 0.000
Cs -2.346 6.469 0.000
Cs 2.082 1.202 3.970
Cs 2.346 6.469 0.000
Cs 6.775 1.202 3.970
Cs 4.429 5.266 3.970
Ru 0.000 5.114 3.759
Ru 4.429 2.557 7.729
F 0.000 0.000 2.044
F 0.000 0.000 6.013
F -1.359 4.329 2.675
F 0.000 3.532 4.832
F -1.370 5.905 4.832
F 0.000 5.114 7.774
F 1.359 4.329 2.675
F 0.000 6.683 2.675
F 3.058 1.766 0.862
F 1.370 5.905 4.832
F 4.429 0.988 6.644
F 3.070 3.342 6.644
F 4.429 2.557 3.804
F 5.799 1.766 0.862
F 4.429 4.139 0.862
F 5.788 3.342 6.644

---

Record 12
16
Lattice="7.509 0.000 0.000 0.000 7.509 0.000 0.000 0.000 7.509" Properties=species:S:1:pos:R:3 comment="GGA-PBE Cs2RuF, relaxed" dos_ef_per_ev_cell=25.625 raw_formation_energy_ev_per_fu=0.9 pbc="T T T"
Cs 1.877 1.877 1.877
Cs 1.877 1.877 5.631
Cs 1.877 5.631 1.877
Cs 1.877 5.631 5.631
Cs 5.631 1.877 1.877
Cs 5.631 1.877 5.631
Cs 5.631 5.631 1.877
Cs 5.631 5.631 5.631
Ru 0.000 0.000 0.000
Ru 0.000 3.754 3.754
Ru 3.754 0.000 3.754
Ru 3.754 3.754 0.000
F 0.000 0.000 3.754
F 0.000 3.754 0.000
F 3.754 0.000 0.000
F 3.754 3.754 3.754

---

Record 13
28
Lattice="-4.923 4.997 5.900 4.923 -4.997 5.900 4.923 4.997 -5.900" Properties=species:S:1:pos:R:3 comment="GGA-PBE CsRu2F11, relaxed" raw_formation_energy_ev_per_fu=-27.2 pbc="T T T"
Cs 0.000 0.000 2.950
Cs 0.000 0.000 8.850
Ru 6.297 1.497 0.000
Ru 1.373 3.500 0.000
Ru 3.550 1.497 5.900
Ru -1.373 3.500 5.900
F 4.923 0.000 0.000
F 2.594 -0.564 1.335
F 5.287 2.368 -1.336
F 5.287 -2.368 4.564
F 7.253 0.564 1.335
F 2.613 2.128 0.000
F 2.613 -2.128 5.900
F 2.330 4.432 -1.335
F 5.287 2.368 1.336
F 0.363 2.628 1.336
F 2.594 0.564 4.565
F 0.000 4.997 0.000
F 2.330 4.432 1.335
F 4.560 2.368 4.564
F -0.363 2.628 4.564
F 2.594 0.564 7.235
F 2.310 7.125 0.000
F 2.310 2.868 5.900
F -2.330 4.432 4.565
F -0.363 7.365 1.336
F -0.363 2.628 7.236
F 2.330 5.561 4.565

---

Record 14
16
Lattice="6.744 0.000 0.000 0.000 6.744 0.000 0.000 0.000 6.744" Properties=species:S:1:pos:R:3 comment="GGA-PBE CsRuF2, relaxed" dos_ef_per_ev_cell=7.375 raw_formation_energy_ev_per_fu=-2.7 de_polymorph_mev_per_atom=471 pbc="T T T"
Cs 0.000 0.000 0.000
Cs 0.000 3.372 3.372
Cs 3.372 0.000 3.372
Cs 3.372 3.372 0.000
Ru 0.000 0.000 3.372
Ru 0.000 3.372 0.000
Ru 3.372 0.000 0.000
Ru 3.372 3.372 3.372
F 1.686 1.686 1.686
F 1.686 1.686 5.058
F 1.686 5.058 1.686
F 1.686 5.058 5.058
F 5.058 1.686 1.686
F 5.058 1.686 5.058
F 5.058 5.058 1.686
F 5.058 5.058 5.058

---

Record 15
5
Lattice="5.916 0.000 0.000 0.000 5.916 0.000 0.000 0.000 5.916" Properties=species:S:1:pos:R:3 comment="GGA-PBE Cs3RuF, relaxed" dos_ef_per_ev_cell=4.817 raw_formation_energy_ev_per_fu=-1.2 de_polymorph_mev_per_atom=0 pbc="T T T"
Cs 0.000 0.000 2.958
Cs 0.000 2.958 0.000
Cs 2.958 0.000 0.000
Ru 2.958 2.958 2.958
F 0.000 0.000 0.000

---

Record 16
16
Lattice="6.537 0.000 0.000 0.000 6.537 0.000 0.000 0.000 9.026" Properties=species:S:1:pos:R:3 comment="GGA-PBE Cs2RuF5, relaxed" dos_ef_per_ev_cell=14.605 raw_formation_energy_ev_per_fu=-17.1 pbc="T T T"
Cs 0.000 3.268 0.000
Cs 0.000 3.268 4.513
Cs 3.268 0.000 0.000
Cs 3.268 0.000 4.513
Ru 0.000 0.000 2.246
Ru 3.268 3.268 6.759
F 0.000 0.000 4.390
F 1.393 1.393 2.178
F 1.393 5.143 2.178
F 1.875 1.875 6.691
F 1.875 4.662 6.691
F 3.268 3.268 8.903
F 4.662 1.875 6.691
F 4.662 4.662 6.691
F 5.143 1.393 2.178
F 5.143 5.143 2.178

---

Record 17
16
Lattice="6.443 0.000 0.000 0.000 6.443 0.000 0.000 0.000 6.443" Properties=species:S:1:pos:R:3 comment="GGA-PBE CsRu2F, relaxed" dos_ef_per_ev_cell=25.443 raw_formation_energy_ev_per_fu=5.7 pbc="T T T"
Cs 0.000 0.000 0.000
Cs 0.000 3.221 3.221
Cs 3.221 0.000 3.221
Cs 3.221 3.221 0.000
Ru 1.611 1.611 1.611
Ru 1.611 1.611 4.832
Ru 1.611 4.832 1.611
Ru 1.611 4.832 4.832
Ru 4.832 1.611 1.611
Ru 4.832 1.611 4.832
Ru 4.832 4.832 1.611
Ru 4.832 4.832 4.832
F 0.000 0.000 3.221
F 0.000 3.221 0.000
F 3.221 0.000 0.000
F 3.221 3.221 3.221

---

Record 18
8
Lattice="4.068 2.348 2.725 -4.068 2.348 2.725 0.000 -4.697 2.725" Properties=species:S:1:pos:R:3 comment="GGA-PBE CsRuF6, relaxed" raw_formation_energy_ev_per_fu=-17.2 de_polymorph_mev_per_atom=0 pbc="T T T"
Cs 0.000 0.000 0.000
Ru 0.000 0.000 4.088
F 0.000 -1.539 2.973
F -1.333 0.770 2.973
F -1.333 -0.770 5.202
F 1.333 0.770 2.973
F 1.333 -0.770 5.202
F 0.000 1.539 5.202

---

Record 19
10
Lattice="-3.278 3.278 4.365 3.278 -3.278 4.365 3.278 3.278 -4.365" Properties=species:S:1:pos:R:3 comment="GGA-PBE Cs2ScRuF6, relaxed" dos_ef_per_ev_cell=25.049 raw_formation_energy_ev_per_fu=-25.9 pbc="T T T"
Cs 3.278 0.000 2.182
Cs 0.000 3.278 2.182
Sc 0.000 0.000 0.000
Ru 0.000 0.000 4.365
F 1.443 1.443 0.000
F 1.835 -1.835 4.365
F 0.000 0.000 2.066
F 0.000 0.000 6.664
F -1.835 1.835 4.365
F 1.835 1.835 4.365

---

Record 20
10
Lattice="-3.319 3.319 5.179 3.319 -3.319 5.179 3.319 3.319 -5.179" Properties=species:S:1:pos:R:3 comment="GGA-PBE Cs2RuSeF6, relaxed" dos_ef_per_ev_cell=7.380 raw_formation_energy_ev_per_fu=-18.4 pbc="T T T"
Cs 3.319 0.000 2.589
Cs 0.000 3.319 2.589
Ru 0.000 0.000 0.000
Se 0.000 0.000 5.179
F 0.000 0.000 1.950
F 1.394 1.394 0.000
F 1.925 -1.925 5.179
F -1.925 1.925 5.179
F 1.925 1.925 5.179
F 0.000 0.000 8.408

---

Record 21
5
Lattice="6.144 0.000 0.000 0.000 6.144 0.000 0.000 0.000 4.252" Properties=species:S:1:pos:R:3 comment="GGA-PBE Cs2RuSeF, relaxed" dos_ef_per_ev_cell=4.376 raw_formation_energy_ev_per_fu=-1.7 pbc="T T T"
Cs 0.000 3.072 0.000
Cs 3.072 0.000 0.000
Ru 0.000 0.000 2.126
Se 3.072 3.072 2.126
F 0.000 0.000 0.000

---

Record 22
5
Lattice="4.469 0.000 0.000 0.000 4.469 0.000 0.000 0.000 6.700" Properties=species:S:1:pos:R:3 comment="GGA-PBE CsSiRu2F, relaxed" dos_ef_per_ev_cell=5.184 raw_formation_energy_ev_per_fu=1.1 pbc="T T T"
Cs 0.000 0.000 0.000
Si 2.235 2.235 3.350
Ru 0.000 2.235 3.350
Ru 2.235 0.000 3.350
F 2.235 2.235 0.000